Entry 1:
LiPrMgAg after structural relaxation, computed with PBE.

Structure (CIF):
```
data_LiPrMgAg
_chemical_formula_sum 'Li1 Pr1 Mg1 Ag1'
_cell_length_a 5.078
_cell_length_b 5.078
_cell_length_c 5.078
_cell_angle_alpha 60.00
_cell_angle_beta 60.00
_cell_angle_gamma 60.00
_space_group_name_H-M_alt 'P 1'
_space_group_IT_number 1
loop_
_space_group_symop_operation_xyz
'x,y,z'
loop_
_atom_site_label
_atom_site_type_symbol
_atom_site_fract_x
_atom_site_fract_y
_atom_site_fract_z
Pr1 Pr 0.000 0.000 0.000
Mg1 Mg 0.500 0.500 0.500
Ag1 Ag 0.250 0.250 0.250
Li1 Li 0.750 0.750 0.750
```

---

Entry 2:
LiPrMg2Ag4 after structural relaxation, computed with PBE.

Structure (CIF):
```
data_LiPrMg2Ag4
_chemical_formula_sum 'Li1 Pr1 Mg2 Ag4'
_cell_length_a 4.761
_cell_length_b 4.761
_cell_length_c 8.881
_cell_angle_alpha 74.45
_cell_angle_beta 74.45
_cell_angle_gamma 60.00
_space_group_name_H-M_alt 'P 1'
_space_group_IT_number 1
loop_
_space_group_symop_operation_xyz
'x,y,z'
loop_
_atom_site_label
_atom_site_type_symbol
_atom_site_fract_x
_atom_site_fract_y
_atom_site_fract_z
Li1 Li 0.500 0.500 0.500
Pr1 Pr 0.000 0.000 0.000
Mg1 Mg 0.758 0.758 0.727
Mg2 Mg 0.242 0.242 0.273
Ag1 Ag 0.397 0.397 0.808
Ag2 Ag 0.872 0.872 0.384
Ag3 Ag 0.128 0.128 0.616
Ag4 Ag 0.603 0.603 0.192
```

---

Entry 3:
Li2PrMgAg4 after structural relaxation, computed with PBE.

Structure (CIF):
```
data_Li2PrMgAg4
_chemical_formula_sum 'Li2 Pr1 Mg1 Ag4'
_cell_length_a 4.628
_cell_length_b 4.628
_cell_length_c 9.213
_cell_angle_alpha 75.45
_cell_angle_beta 75.45
_cell_angle_gamma 60.00
_space_group_name_H-M_alt 'P 1'
_space_group_IT_number 1
loop_
_space_group_symop_operation_xyz
'x,y,z'
loop_
_atom_site_label
_atom_site_type_symbol
_atom_site_fract_x
_atom_site_fract_y
_atom_site_fract_z
Li1 Li 0.763 0.763 0.710
Li2 Li 0.237 0.237 0.290
Pr1 Pr 0.000 0.000 0.000
Mg1 Mg 0.500 0.500 0.500
Ag1 Ag 0.398 0.398 0.805
Ag2 Ag 0.875 0.875 0.376
Ag3 Ag 0.125 0.125 0.624
Ag4 Ag 0.602 0.602 0.195
```

---

| no. | energy (eV/atom) | magnetic moment (μB per cell) |
| --- | --- | --- |
| 1 | -2.945 | 0.0 |
| 2 | -2.894 | 0.0 |
| 3 | -2.892 | 0.0 |